No. 1
Here is an optimized crystal structure of AlInSnBi from Alexandria via LeMat-Bulk. Energies are from GGA-PBE.

As for the total magnetization: 0.00 μB/f.u.

```
AlInSnBi
1.0
0.0000 3.7842 3.7842
3.7842 0.0000 3.7842
3.7842 3.7842 0.0000
Al In Sn Bi
1 1 1 1
Cartesian
0.0000 0.0000 0.0000
1.8921 1.8921 1.8921
3.7842 3.7842 3.7842
5.6762 5.6762 5.6762
```

No. 2
Here is an optimized crystal structure of NaBi2Pt from Alexandria via LeMat-Bulk. Energies are from GGA-PBE.

Its polymorph energy (0 for the lowest one) is 140 meV per atom. As for the total magnetization: 0.00 μB/f.u.

```
NaBi2Pt
1.0
0.0000 3.6082 3.6082
3.6082 0.0000 3.6082
3.6082 3.6082 0.0000
Na Bi Pt
1 2 1
Cartesian
0.0000 0.0000 0.0000
1.8041 1.8041 1.8041
5.4123 5.4123 5.4123
3.6082 3.6082 3.6082
```

No. 3
Here is an optimized crystal structure of ScCd2Hg from Alexandria via LeMat-Bulk. Energies are from GGA-PBE.

As for the total magnetization: 0.00 μB/f.u.

```
ScCd2Hg
1.0
-2.2299 2.2299 4.4573
2.2299 -2.2299 4.4573
2.2299 2.2299 -4.4573
Sc Cd Hg
1 2 1
Cartesian
0.0000 0.0000 0.0000
2.2299 0.0000 2.2286
0.0000 2.2299 2.2286
0.0000 0.0000 4.4573
```

Calculated energy relative to the elements in order - 201 -177 -137 meV per atom